VASP calculation (GGA-PBE) on an optimized crystal structure of SrLa2PdPb.

```
SrLa2PdPb
1.0
5.675 0.000 0.000
0.000 5.535 0.000
0.000 0.000 5.675
Pb Sr Pd La
1 1 1 2
direct
0.000 0.500 0.000 Pb
0.500 0.500 0.500 Sr
0.000 0.000 0.000 Pd
0.000 0.000 0.500 La
0.500 0.000 0.000 La
```

**M_tot**: 0.00 μB per formula unit
**Energy of formation**: -0.272 eV per atom
**VASP energy**: -4.360 eV per atom
**Density of states at the Fermi level**: 4.0 states/eV/f.u.

=====

VASP calculation (GGA-PBE) on an optimized crystal structure of LaTbPdPb.

```
LaTbPdPb
1.0
5.357 0.000 0.000
2.678 4.639 0.000
2.678 1.546 4.374
Pb Tb Pd La
1 1 1 1
direct
0.500 0.500 0.500 Pb
0.750 0.750 0.750 Tb
0.000 0.000 0.000 Pd
0.250 0.250 0.250 La
```

**M_tot**: 0.01 μB per formula unit
**Energy of formation**: -0.600 eV per atom
**VASP energy**: -5.214 eV per atom
**Density of states at the Fermi level**: 2.0 states/eV/f.u.

=====

VASP calculation (GGA-PBE) on an optimized crystal structure of LaTlPd2Pb.

```
LaTlPd2Pb
1.0
-3.012 -3.025 2.810
3.512 0.523 4.327
-2.601 4.091 1.617
Pb Tl Pd La
1 1 2 1
direct
0.000 0.500 0.000 Pb
0.000 0.000 0.000 Tl
0.000 0.000 0.500 Pd
0.500 0.000 0.000 Pd
0.500 0.500 0.500 La
```

**M_tot**: 0.00 μB per formula unit
**Energy of formation**: 0.155 eV per atom
**VASP energy**: -4.123 eV per atom
**Density of states at the Fermi level**: 2.9 states/eV/f.u.

=====

VASP calculation (GGA-PBE) on an optimized crystal structure of LaTlPdPb.

```
LaTlPdPb
1.0
5.265 0.000 0.000
2.633 4.560 0.000
2.633 1.520 4.299
Pb Tl Pd La
1 1 1 1
direct
0.250 0.250 0.250 Pb
0.000 0.000 0.000 Tl
0.500 0.500 0.500 Pd
0.750 0.750 0.750 La
```

**M_tot**: 0.00 μB per formula unit
**Energy of formation**: -0.430 eV per atom
**VASP energy**: -4.479 eV per atom
**Density of states at the Fermi level**: 0.9 states/eV/f.u.

=====

VASP calculation (GGA-PBE) on an optimized crystal structure of LaV2PdPb.

```
LaV2PdPb
1.0
5.103 0.000 0.000
0.000 6.090 0.000
0.000 0.000 5.103
Pb V Pd La
1 2 1 1
direct
0.000 0.000 0.000 Pb
0.000 0.000 0.500 V
0.500 0.000 0.000 V
0.500 0.500 0.500 Pd
0.000 0.500 0.000 La
```

**M_tot**: 6.77 μB per formula unit
**Energy of formation**: 1.182 eV per atom
**VASP energy**: -5.231 eV per atom
**Density of states at the Fermi level**: 6.8 states/eV/f.u.

=====

VASP calculation (GGA-PBE) on an optimized crystal structure of La2ZnPd6Pb.

```
La2ZnPd6Pb
1.0
6.646 -1.014 -1.386
-0.803 6.368 1.089
1.980 3.553 5.086
La Zn Pd Pb
2 1 6 1
direct
0.257 0.756 0.500 La
0.743 0.244 0.500 La
0.500 0.500 0.000 Zn
0.204 0.685 0.994 Pd
0.554 0.745 0.191 Pd
0.205 0.196 0.483 Pd
0.796 0.315 0.006 Pd
0.446 0.255 0.809 Pd
0.795 0.804 0.517 Pd
0.000 0.000 0.000 Pb
```

**M_tot**: 0.00 μB per formula unit
**Energy of formation**: -0.586 eV per atom
**VASP energy**: -5.186 eV per atom
**Density of states at the Fermi level**: 3.9 states/eV/f.u.

=====

VASP calculation (GGA-PBE) on an optimized crystal structure of La3Zn2Pd9Pb.

```
La3Zn2Pd9Pb
1.0
-4.895 -1.114 -2.737
3.860 -4.150 0.760
-5.249 -2.943 10.585
La Zn Pd Pb
3 2 9 1
direct
0.333 0.667 0.752 La
0.000 0.000 0.000 La
0.667 0.333 0.248 La
0.333 0.667 0.160 Zn
0.667 0.333 0.840 Zn
0.833 0.167 0.683 Pd
0.833 0.667 0.683 Pd
0.333 0.167 0.683 Pd
0.667 0.833 0.317 Pd
0.167 0.333 0.317 Pd
0.167 0.833 0.317 Pd
0.500 0.000 0.000 Pd
0.000 0.500 0.000 Pd
0.500 0.500 0.000 Pd
0.000 0.000 0.500 Pb
```

**M_tot**: 0.00 μB per formula unit
**Energy of formation**: -0.544 eV per atom
**VASP energy**: -5.062 eV per atom
**Density of states at the Fermi level**: 5.6 states/eV/f.u.

=====

VASP calculation (GGA-PBE) on an optimized crystal structure of LaPmPb.

```
LaPmPb
1.0
4.745 0.000 0.338
0.000 4.757 0.000
-0.634 0.000 8.959
La Pm Pb
2 2 2
direct
0.750 0.250 0.848 La
0.250 0.750 0.152 La
0.250 0.250 0.500 Pm
0.750 0.750 0.500 Pm
0.751 0.250 0.224 Pb
0.249 0.750 0.776 Pb
```

**M_tot**: 0.00 μB per formula unit
**Energy of formation**: -0.467 eV per atom
**ΔE to the lowest computed polymorph**: 0 meV/atom
**VASP energy**: -4.929 eV per atom
**Density of states at the Fermi level**: 4.3 states/eV/f.u.

=====

VASP calculation (GGA-PBE) on an optimized crystal structure of La2Pm3Pb4.

```
La2Pm3Pb4
1.0
8.394 -0.198 0.000
-2.950 8.173 0.000
0.000 0.000 8.674
La Pm Pb
4 6 8
direct
0.561 0.194 0.320 La
0.939 0.806 0.820 La
0.439 0.806 0.680 La
0.061 0.194 0.180 La
0.000 0.500 0.500 Pm
0.500 0.500 0.000 Pm
0.738 0.244 0.838 Pm
0.762 0.756 0.338 Pm
0.262 0.756 0.162 Pm
0.238 0.244 0.662 Pm
0.833 0.086 0.539 Pb
0.667 0.914 0.039 Pb
0.167 0.914 0.461 Pb
0.333 0.086 0.961 Pb
0.862 0.490 0.139 Pb
0.638 0.510 0.639 Pb
0.138 0.510 0.861 Pb
0.362 0.490 0.361 Pb
```

**M_tot**: 0.00 μB per formula unit
**Energy of formation**: -0.627 eV per atom
**ΔE to the lowest computed polymorph**: 0 meV/atom
**VASP energy**: -4.953 eV per atom
**Density of states at the Fermi level**: 7.6 states/eV/f.u.

=====

VASP calculation (GGA-PBE) on an optimized crystal structure of La8Pm6Pb.

```
La8Pm6Pb
1.0
-5.209 3.661 -2.529
0.489 -4.884 -8.079
-5.545 -3.034 7.029
La Pm Pb
8 6 1
direct
0.828 0.045 0.276 La
0.828 0.724 0.769 La
0.828 0.231 0.955 La
0.172 0.955 0.724 La
0.172 0.276 0.231 La
0.172 0.769 0.045 La
0.880 0.333 0.667 La
0.120 0.667 0.333 La
0.655 0.655 0.095 Pm
0.655 0.905 0.559 Pm
0.655 0.441 0.345 Pm
0.345 0.345 0.905 Pm
0.345 0.095 0.441 Pm
0.345 0.559 0.655 Pm
0.500 0.000 0.000 Pb
```

**M_tot**: 0.00 μB per formula unit
**Energy of formation**: 0.035 eV per atom
**VASP energy**: -4.740 eV per atom
**Density of states at the Fermi level**: 21.9 states/eV/f.u.

=====

VASP calculation (GGA-PBE) on an optimized crystal structure of LaPm2Pb3.

```
LaPm2Pb3
1.0
2.557 -7.716 0.000
2.557 7.716 0.000
0.000 0.000 9.220
La Pm Pb
2 4 6
direct
0.334 0.666 0.000 La
0.666 0.334 0.000 La
0.000 0.000 0.000 Pm
0.000 0.000 0.500 Pm
0.333 0.667 0.500 Pm
0.667 0.333 0.500 Pm
0.835 0.165 0.746 Pb
0.500 0.500 0.253 Pb
0.165 0.835 0.254 Pb
0.835 0.165 0.254 Pb
0.165 0.835 0.746 Pb
0.500 0.500 0.747 Pb
```

**M_tot**: 0.10 μB per formula unit
**Energy of formation**: -0.535 eV per atom
**ΔE to the lowest computed polymorph**: 0 meV/atom
**VASP energy**: -4.794 eV per atom
**Density of states at the Fermi level**: 6.0 states/eV/f.u.

=====

VASP calculation (GGA-PBE) on an optimized crystal structure of LaPm12Pb7.

```
LaPm12Pb7
1.0
-0.731 2.110 9.419
-4.265 -8.459 -1.989
9.259 -0.048 -2.824
La Pm Pb
1 12 7
direct
0.000 0.000 0.000 La
0.000 0.276 0.724 Pm
0.724 0.276 0.000 Pm
0.494 0.159 0.494 Pm
0.841 0.506 0.506 Pm
0.276 0.000 0.724 Pm
0.506 0.506 0.841 Pm
0.494 0.494 0.159 Pm
0.724 0.000 0.276 Pm
0.159 0.494 0.494 Pm
0.506 0.841 0.506 Pm
0.276 0.724 0.000 Pm
0.000 0.724 0.276 Pm
0.864 0.552 0.864 Pb
0.448 0.136 0.136 Pb
0.136 0.136 0.448 Pb
0.500 0.500 0.500 Pb
0.864 0.864 0.552 Pb
0.552 0.864 0.864 Pb
0.136 0.448 0.136 Pb
```

**M_tot**: 0.00 μB per formula unit
**Energy of formation**: -0.322 eV per atom
**VASP energy**: -4.717 eV per atom
**Density of states at the Fermi level**: 23.5 states/eV/f.u.